# 1
Here is a relaxed structure of Co2B2O5 from the Alexandria database. Energies are from GGA+U.

As for the electronic total energy: -129.4 eV/cell. The density of states at the Fermi level is 0.00 states/eV per atom. As for the spin magnetization: 6.0 μB/f.u.

The structure belongs to space group P-1 (No. 2); the cell edges are 3.202, 6.225 and 9.331 Å and the angles 104.52°, 90.98° and 91.71°. The asymmetric unit holds Co at (0.229, 0.216, 0.359), Co at (0.263, 0.628, 0.899), B at (0.162, 0.118, 0.830), B at (0.201, 0.682, 0.354), O at (0.069, 0.861, 0.298), O at (0.239, 0.302, 0.946), O at (0.241, 0.477, 0.257), O at (0.270, 0.723, 0.503) and O at (0.276, 0.906, 0.818).



# 2
Here is a relaxed structure of Co2BO4 from the Alexandria database. Energies are from GGA+U.

As for the electronic total energy: -188.1 eV/cell. As for the spin magnetization: 7.0 μB/f.u.

The structure belongs to space group Pnma (No. 62); the cell edges are 9.230, 3.148 and 9.411 Å and the angles 90.00°, 90.00° and 90.00°. The asymmetric unit holds Co at (0.103, 0.250, 0.202), Co at (0.121, 0.250, 0.569), B at (0.161, 0.250, 0.883), O at (0.011, 0.250, 0.871), O at (0.017, 0.250, 0.378), O at (0.226, 0.250, 0.015) and O at (0.243, 0.250, 0.758).



# 3
Here is a relaxed structure of CoBO3 from the Alexandria database. Energies are from GGA+U.

As for the electronic total energy: -69.5 eV/cell. As for the spin magnetization: 4.0 μB/f.u.

The structure belongs to space group P-1 (No. 2); the cell edges are 4.863, 5.352 and 5.537 Å and the angles 86.14°, 72.89° and 64.15°. The asymmetric unit holds Co at (0.065, 0.354, 0.242), B at (0.381, 0.711, 0.243), O at (0.206, 0.989, 0.224), O at (0.230, 0.558, 0.385) and O at (0.295, 0.416, 0.883).